Record 1
VASP calculation (PBE) on a relaxed structure of Cd3AsPb. Values from VASP.

Cell and atoms, written as Quantum ESPRESSO input:
```
&SYSTEM
  ibrav = 0, nat = 5, ntyp = 3
/
ATOMIC_SPECIES
Pb 207.20 Pb.upf
As 74.92 As.upf
Cd 112.41 Cd.upf
CELL_PARAMETERS angstrom
5.319 0.000 0.000
0.000 5.319 0.000
0.000 0.000 5.319
ATOMIC_POSITIONS crystal
Pb 0.500 0.500 0.500
As 0.000 0.000 0.000
Cd 0.000 0.500 0.000
Cd 0.000 0.000 0.500
Cd 0.500 0.000 0.000
```

Computed properties:
**Volume**: 30.088 Å³/atom
**Offset from the most stable computed form**: 0.00 eV per formula unit
**DFT total energy**: -9.5 eV per cell
**Total magnetic moment**: 0.0 μB per formula unit



Record 2
VASP calculation (PBE) on a relaxed structure of CdAs2Pb. Values from VASP.

Cell and atoms, written as Quantum ESPRESSO input:
```
&SYSTEM
  ibrav = 0, nat = 4, ntyp = 3
/
ATOMIC_SPECIES
Pb 207.20 Pb.upf
As 74.92 As.upf
Cd 112.41 Cd.upf
CELL_PARAMETERS angstrom
-5.027 1.627 -0.138
-1.001 -3.068 0.286
0.014 0.526 5.684
ATOMIC_POSITIONS crystal
Pb 0.500 0.814 0.875
As 0.000 0.388 0.875
As 0.500 0.987 0.375
Cd 0.000 0.311 0.375
```

Computed properties:
**Volume**: 24.441 Å³/atom
**DFT total energy**: -13.4 eV per cell
**Total magnetic moment**: 0.0 μB per formula unit



Record 3
VASP calculation (PBE) on a relaxed structure of CdAs4Pb. Values from VASP.

Cell and atoms, written as Quantum ESPRESSO input:
```
&SYSTEM
  ibrav = 0, nat = 6, ntyp = 3
/
ATOMIC_SPECIES
Cd 112.41 Cd.upf
As 74.92 As.upf
Pb 207.20 Pb.upf
CELL_PARAMETERS angstrom
-1.002 -1.554 5.503
-4.611 -3.281 1.296
0.734 -5.522 1.636
ATOMIC_POSITIONS crystal
Cd 0.750 0.750 0.750
As 0.859 0.380 0.380
As 0.380 0.380 0.859
As 0.380 0.859 0.380
As 0.380 0.380 0.380
Pb 0.000 0.000 0.000
```

Computed properties:
**Volume**: 23.059 Å³/atom
**DFT total energy**: -21.5 eV per cell
**Total magnetic moment**: 0.0 μB per formula unit